Entry 1:
Computed, not measured: ZnGePb after structural relaxation at the PBE-GGA level of DFT.

a b c (Å): 4.016 4.016 8.468
angles (deg): 90.00 90.00 90.00
Sites, in units of the cell vectors:
1 Zn 0.250 0.750 0.000
2 Zn 0.750 0.250 0.000
3 Ge 0.250 0.250 0.210
4 Ge 0.750 0.750 0.790
5 Pb 0.250 0.250 0.634
6 Pb 0.750 0.750 0.366

Output
The density of states at the Fermi level comes out at 1.02 states/eV/f.u. Its energy above the most stable polymorph in this dataset is 0 kJ/mol of formula units. The value obtained for the formation energy is 123.2 meV per atom. The spin magnetization comes out at 0.00 μB per formula unit. Its space group is P4/nmm. The calculation puts the uncorrected energy at -0.113 Ha/atom. The volume is 22.8 Å³/atom.

---

Entry 2:
Computed, not measured: Zn3GePb after structural relaxation at the PBE-GGA level of DFT.

a b c (Å): 5.262 5.262 5.262
angles (deg): 90.00 90.00 90.00
Sites, in units of the cell vectors:
1 Zn 0.000 0.000 0.500
2 Zn 0.000 0.500 0.000
3 Zn 0.500 0.000 0.000
4 Ge 0.500 0.500 0.500
5 Pb 0.000 0.000 0.000

Output
The density of states at the Fermi level comes out at 4.52 states/eV/f.u. Its energy above the most stable polymorph in this dataset is 237 kJ/mol of formula units. The value obtained for the formation energy is 883.1 meV per atom. The spin magnetization comes out at 0.00 μB per formula unit. Its space group is Pm-3m. The calculation puts the uncorrected energy at -0.057 Ha/atom. The volume is 29.1 Å³/atom.

---

Entry 3:
Computed, not measured: Zn3GePb after structural relaxation at the PBE-GGA level of DFT.

a b c (Å): 4.913 4.913 4.913
angles (deg): 90.00 90.00 90.00
Sites, in units of the cell vectors:
1 Zn 0.000 0.000 0.500
2 Zn 0.000 0.500 0.000
3 Zn 0.500 0.000 0.000
4 Ge 0.000 0.000 0.000
5 Pb 0.500 0.500 0.500

Output
The density of states at the Fermi level comes out at 3.28 states/eV/f.u. Its energy above the most stable polymorph in this dataset is 0 kJ/mol of formula units. The value obtained for the formation energy is 392.8 meV per atom. The spin magnetization comes out at 0.00 μB per formula unit. Its space group is Pm-3m. The calculation puts the uncorrected energy at -0.075 Ha/atom. The volume is 23.7 Å³/atom.

---

Entry 4:
Computed, not measured: ZnGe2Pb after structural relaxation at the PBE-GGA level of DFT.

a b c (Å): 5.010 5.010 5.010
angles (deg): 60.00 60.00 60.00
Sites, in units of the cell vectors:
1 Zn 0.000 0.000 0.000
2 Ge 0.250 0.250 0.250
3 Ge 0.750 0.750 0.750
4 Pb 0.500 0.500 0.500

Output
The density of states at the Fermi level comes out at 1.83 states/eV/f.u. Its energy above the most stable polymorph in this dataset is 40 kJ/mol of formula units. The value obtained for the formation energy is 327.1 meV per atom. The spin magnetization comes out at 0.00 μB per formula unit. Its space group is Fm-3m. The calculation puts the uncorrected energy at -0.119 Ha/atom. The volume is 22.2 Å³/atom.

---

Entry 5:
Computed, not measured: ZnGe2Pb after structural relaxation at the PBE-GGA level of DFT.

a b c (Å): 10.010 10.010 10.010
angles (deg): 154.28 154.28 36.70
Sites, in units of the cell vectors:
1 Zn 0.000 0.000 0.000
2 Zn 0.750 0.250 0.500
3 Ge 0.044 0.625 0.919
4 Ge 0.375 0.294 0.419
5 Ge 0.706 0.125 0.081
6 Ge 0.875 0.956 0.581
7 Pb 0.250 0.750 0.500
8 Pb 0.500 0.500 0.000

Output
The density of states at the Fermi level comes out at 2.27 states/eV/f.u. Its energy above the most stable polymorph in this dataset is 9 kJ/mol of formula units. The value obtained for the formation energy is 246.5 meV per atom. The spin magnetization comes out at 0.00 μB per formula unit. Its space group is I-42d. The calculation puts the uncorrected energy at -0.122 Ha/atom. The volume is 23.6 Å³/atom.

---

Entry 6:
Computed, not measured: Zr2GePb after structural relaxation at the PBE-GGA level of DFT.

a b c (Å): 6.275 6.275 6.275
angles (deg): 104.32 104.32 120.35
Sites, in units of the cell vectors:
1 Zr 0.102 0.625 0.977
2 Zr 0.375 0.352 0.477
3 Zr 0.648 0.125 0.023
4 Zr 0.875 0.898 0.523
5 Ge 0.000 0.000 0.000
6 Ge 0.750 0.250 0.500
7 Pb 0.250 0.750 0.500
8 Pb 0.500 0.500 0.000

Output
The density of states at the Fermi level comes out at 0.34 states/eV/f.u. The value obtained for the formation energy is -219.5 meV per atom. The spin magnetization comes out at 0.00 μB per formula unit. Its space group is I-42d. The calculation puts the uncorrected energy at -0.242 Ha/atom. The volume is 23.1 Å³/atom.